Arrangement one

Density functional theory data (meta-GGA SCAN) for a PBEsol-optimized structure of KYAu2.

Cell lengths 3.3691, 5.2857, 5.2857 Å; angles 90.00, 90.00, 90.00 degrees
With the nearest neighbours (Å) after each atom.
Element x y z (fractional)
Au: 0.0000 0.5000 0.0000  4 K 3.13, 4 Y 3.13, 2 Au 3.37
Au: 0.0000 0.0000 0.5000  4 K 3.13, 4 Y 3.13, 2 Au 3.37
K: 0.5000 0.0000 0.0000  8 Au 3.13, 2 K 3.37
Y: 0.5000 0.5000 0.5000  8 Au 3.13, 2 Y 3.37

Summary:
Volume in Å³/cell: 94.1


Arrangement two

Density functional theory data (meta-GGA SCAN) for a PBEsol-optimized structure of KYAu2.

Cell lengths 4.0171, 4.0480, 8.4602 Å; angles 103.59, 90.00, 119.75 degrees
With the nearest neighbours (Å) after each atom.
Element x y z (fractional)
Au: 0.7347 0.4694 0.7045  3 Y 2.86-2.87
Au: 0.2653 0.5306 0.2955  3 Y 2.86-2.87
K: 0.5000 0.0000 0.0000  6 Au 3.35
Y: 0.0000 0.0000 0.5000  6 Au 2.86-2.87

Summary:
Volume in Å³/cell: 115.0


arrangement two is favored, and the nearest alternative lies 9 meV per atom above it.


Arrangement one

Density functional theory data (meta-GGA SCAN) for a PBEsol-optimized structure of RePb2.

Cell lengths 3.1442, 3.1442, 7.3611 Å; angles 102.33, 102.33, 90.00 degrees
With the nearest neighbours (Å) after each atom.
Element x y z (fractional)
Pb: 0.3626 0.3626 0.7252  4 Re 2.94, 4 Pb 3.14
Pb: 0.6374 0.6374 0.2748  4 Re 2.94, 4 Pb 3.14
Re: 0.0000 0.0000 0.0000  8 Pb 2.94, 4 Re 3.14

Summary:
Volume in Å³/cell: 69.4


Arrangement two

Density functional theory data (meta-GGA SCAN) for a PBEsol-optimized structure of RePb2.

Cell lengths 2.8602, 5.2209, 5.2209 Å; angles 120.00, 90.00, 90.00 degrees
With the nearest neighbours (Å) after each atom.
Element x y z (fractional)
Pb: 0.0000 0.3333 0.6667  5 Pb 2.86-3.01
Pb: 0.0000 0.6667 0.3333  5 Pb 2.86-3.01
Re: 0.5000 0.0000 0.0000  2 Re 2.86

Summary:
Volume in Å³/cell: 67.5


arrangement one is favored, and the nearest alternative lies 548 meV per atom above it.


Arrangement one

Density functional theory data (meta-GGA SCAN) for a PBEsol-optimized structure of BaCrOs.

Cell lengths 4.4461, 4.4461, 4.4461 Å; angles 60.00, 60.00, 60.00 degrees
With the nearest neighbours (Å) after each atom.
Element x y z (fractional)
Ba: 0.5000 0.5000 0.5000  4 Cr 2.72
Cr: 0.7500 0.7500 0.7500  4 Ba 2.72, 4 Os 2.72
Os: 0.0000 0.0000 0.0000  4 Cr 2.72

Summary:
Volume in Å³/cell: 62.1


Arrangement two

Density functional theory data (meta-GGA SCAN) for a PBEsol-optimized structure of BaCrOs.

Cell lengths 4.7097, 4.7097, 4.7097 Å; angles 60.00, 60.00, 60.00 degrees
With the nearest neighbours (Å) after each atom.
Element x y z (fractional)
Ba: 0.7500 0.7500 0.7500  4 Cr 2.88, 4 Os 2.88
Cr: 0.0000 0.0000 0.0000  4 Ba 2.88
Os: 0.5000 0.5000 0.5000  4 Ba 2.88

Summary:
Volume in Å³/cell: 73.9


arrangement one is favored, and the nearest alternative lies 528 meV per atom above it.